A plane-wave DFT calculation with PBE was carried out for a geometry-optimized ScCuBr2 structure.

## Properties
**Spin magnetization**: 0.000 μB/cell
**ΔE to the lowest computed polymorph**: 33 meV/atom

Structure (POSCAR):
```
ScCuBr2
1.0
-5.0850 3.4951 -5.0250
-2.9104 1.8209 -7.1789
-3.2593 -3.0460 -0.9229
Br Cu Sc
2 1 1
Cartesian
-3.8000 -2.1123 -2.1947
-5.0866 0.2012 -5.2917
-2.8137 0.5675 -3.2817
-8.4410 1.7025 -9.8452
```